Entry 1:
! NbIrOsRu (PBE, relaxed); values from VASP
&SYSTEM
  ibrav = 0, nat = 4, ntyp = 4
/
ATOMIC_SPECIES
Nb 92.91 Nb.upf
Ir 192.22 Ir.upf
Os 190.23 Os.upf
Ru 101.07 Ru.upf
CELL_PARAMETERS angstrom
3.8901 0.0000 0.0000
0.0000 3.9311 0.0000
0.0000 0.0000 3.9379
ATOMIC_POSITIONS crystal
Nb 0.0000 0.0000 0.0000
Ir 0.5000 0.5000 0.0000
Os 0.0000 0.5000 0.5000
Ru 0.5000 0.0000 0.5000
! - Uncorrected energy: -10.149 eV/atom
! - Space-group type: No. 47

Entry 2:
! Nb2SnIrOs (PBE, relaxed); values from VASP
&SYSTEM
  ibrav = 0, nat = 5, ntyp = 4
/
ATOMIC_SPECIES
Nb 92.91 Nb.upf
Sn 118.71 Sn.upf
Ir 192.22 Ir.upf
Os 190.23 Os.upf
CELL_PARAMETERS angstrom
4.8236 0.0000 0.0000
0.0000 4.8236 0.0000
0.0000 0.0000 4.8390
ATOMIC_POSITIONS crystal
Nb 0.0000 0.5000 0.0000
Nb 0.5000 0.0000 0.0000
Sn 0.0000 0.0000 0.5000
Ir 0.0000 0.0000 0.0000
Os 0.5000 0.5000 0.5000
! - Uncorrected energy: -7.467 eV/atom
! - Space-group type: No. 123

Entry 3:
! Ta2NbIr5Os (PBE, relaxed); values from VASP
&SYSTEM
  ibrav = 0, nat = 18, ntyp = 4
/
ATOMIC_SPECIES
Ta 180.95 Ta.upf
Nb 92.91 Nb.upf
Ir 192.22 Ir.upf
Os 190.23 Os.upf
CELL_PARAMETERS angstrom
-3.7810 3.7810 5.3969
3.7810 -3.7810 5.3969
3.7810 3.7810 -5.3969
ATOMIC_POSITIONS crystal
Ta 0.1160 0.6160 0.7321
Ta 0.3840 0.1160 0.5000
Ta 0.6160 0.8840 0.5000
Ta 0.8840 0.3840 0.2679
Nb 0.2500 0.2500 0.0000
Nb 0.7500 0.7500 0.0000
Ir 0.0000 0.0000 0.0000
Ir 0.0642 0.1760 0.5000
Ir 0.1760 0.6760 0.1119
Ir 0.3240 0.4358 0.5000
Ir 0.4358 0.9358 0.1119
Ir 0.5000 0.5000 0.0000
Ir 0.5642 0.0642 0.8881
Ir 0.6760 0.5642 0.5000
Ir 0.8240 0.3240 0.8881
Ir 0.9358 0.8240 0.5000
Os 0.2500 0.7500 0.5000
Os 0.7500 0.2500 0.5000
! - Uncorrected energy: -9.636 eV/atom
! - Space-group type: No. 140

Entry 4:
! TaNb2Ir5Os (PBE, relaxed); values from VASP
&SYSTEM
  ibrav = 0, nat = 18, ntyp = 4
/
ATOMIC_SPECIES
Ta 180.95 Ta.upf
Nb 92.91 Nb.upf
Ir 192.22 Ir.upf
Os 190.23 Os.upf
CELL_PARAMETERS angstrom
-3.7700 3.7700 5.3913
3.7700 -3.7700 5.3913
3.7700 3.7700 -5.3913
ATOMIC_POSITIONS crystal
Ta 0.2500 0.2500 0.0000
Ta 0.7500 0.7500 0.0000
Nb 0.1140 0.6140 0.7281
Nb 0.3860 0.1140 0.5000
Nb 0.6140 0.8860 0.5000
Nb 0.8860 0.3860 0.2719
Ir 0.0000 0.0000 0.0000
Ir 0.0646 0.1732 0.5000
Ir 0.1732 0.6732 0.1086
Ir 0.3268 0.4354 0.5000
Ir 0.4354 0.9354 0.1086
Ir 0.5000 0.5000 0.0000
Ir 0.5646 0.0646 0.8914
Ir 0.6732 0.5646 0.5000
Ir 0.8268 0.3268 0.8914
Ir 0.9354 0.8268 0.5000
Os 0.2500 0.7500 0.5000
Os 0.7500 0.2500 0.5000
! - Uncorrected energy: -9.435 eV/atom
! - Space-group type: No. 140

Entry 5:
! TiNb2IrOs (PBE, relaxed); values from VASP
&SYSTEM
  ibrav = 0, nat = 5, ntyp = 4
/
ATOMIC_SPECIES
Ti 47.87 Ti.upf
Nb 92.91 Nb.upf
Ir 192.22 Ir.upf
Os 190.23 Os.upf
CELL_PARAMETERS angstrom
4.8092 0.0000 0.0000
0.0000 4.8092 0.0000
0.0000 0.0000 4.7323
ATOMIC_POSITIONS crystal
Ti 0.0000 0.0000 0.0000
Nb 0.0000 0.5000 0.5000
Nb 0.5000 0.0000 0.5000
Ir 0.5000 0.5000 0.5000
Os 0.5000 0.5000 0.0000
! - Uncorrected energy: -8.387 eV/atom
! - Space-group type: No. 123

Entry 6:
! Nb3PIr (PBE, relaxed); values from VASP
&SYSTEM
  ibrav = 0, nat = 5, ntyp = 3
/
ATOMIC_SPECIES
Nb 92.91 Nb.upf
P 30.97 P.upf
Ir 192.22 Ir.upf
CELL_PARAMETERS angstrom
4.8574 0.0000 0.0000
0.0000 4.8574 0.0000
0.0000 0.0000 4.8574
ATOMIC_POSITIONS crystal
Nb 0.0000 0.0000 0.5000
Nb 0.0000 0.5000 0.0000
Nb 0.5000 0.0000 0.0000
P 0.5000 0.5000 0.5000
Ir 0.0000 0.0000 0.0000
! - Uncorrected energy: -7.820 eV/atom
! - Energy above the most stable polymorph in this dataset: 3.998 eV/f.u.
! - Space-group type: No. 221

Entry 7:
! Nb3PIr (PBE, relaxed); values from VASP
&SYSTEM
  ibrav = 0, nat = 5, ntyp = 3
/
ATOMIC_SPECIES
Nb 92.91 Nb.upf
P 30.97 P.upf
Ir 192.22 Ir.upf
CELL_PARAMETERS angstrom
4.5393 0.0000 0.0000
0.0000 4.5393 0.0000
0.0000 0.0000 4.5393
ATOMIC_POSITIONS crystal
Nb 0.0000 0.0000 0.5000
Nb 0.0000 0.5000 0.0000
Nb 0.5000 0.0000 0.0000
P 0.0000 0.0000 0.0000
Ir 0.5000 0.5000 0.5000
! - Uncorrected energy: -8.620 eV/atom
! - Energy above the most stable polymorph in this dataset: 0.000 eV/f.u.
! - Space-group type: No. 221

Entry 8:
! NbPIr2 (PBE, relaxed); values from VASP
&SYSTEM
  ibrav = 0, nat = 16, ntyp = 3
/
ATOMIC_SPECIES
Nb 92.91 Nb.upf
P 30.97 P.upf
Ir 192.22 Ir.upf
CELL_PARAMETERS angstrom
5.4891 0.0000 0.0000
0.0000 5.4891 0.0000
0.0000 0.0000 11.0729
ATOMIC_POSITIONS crystal
Nb 0.0000 0.0000 0.0000
Nb 0.0000 0.5000 0.2500
Nb 0.5000 0.0000 0.7500
Nb 0.5000 0.5000 0.5000
P 0.0000 0.0000 0.5000
P 0.0000 0.5000 0.7500
P 0.5000 0.0000 0.2500
P 0.5000 0.5000 0.0000
Ir 0.2077 0.2500 0.6250
Ir 0.2500 0.7077 0.8750
Ir 0.2500 0.7923 0.3750
Ir 0.2923 0.2500 0.1250
Ir 0.7077 0.7500 0.1250
Ir 0.7500 0.2077 0.3750
Ir 0.7500 0.2923 0.8750
Ir 0.7923 0.7500 0.6250
! - Uncorrected energy: -8.336 eV/atom
! - Space-group type: No. 122

Entry 9:
! Nb2P2Ir (PBE, relaxed); values from VASP
&SYSTEM
  ibrav = 0, nat = 10, ntyp = 3
/
ATOMIC_SPECIES
Nb 92.91 Nb.upf
P 30.97 P.upf
Ir 192.22 Ir.upf
CELL_PARAMETERS angstrom
6.6365 0.0000 0.0000
0.0000 6.6365 0.0000
0.0000 0.0000 3.4106
ATOMIC_POSITIONS crystal
Nb 0.1537 0.3463 0.0000
Nb 0.3463 0.8463 0.0000
Nb 0.6537 0.1537 0.0000
Nb 0.8463 0.6537 0.0000
P 0.1495 0.6495 0.5000
P 0.3505 0.1495 0.5000
P 0.6495 0.8505 0.5000
P 0.8505 0.3505 0.5000
Ir 0.0000 0.0000 0.5000
Ir 0.5000 0.5000 0.5000
! - Uncorrected energy: -8.516 eV/atom
! - Space-group type: No. 127

Entry 10:
! NbPIr3 (PBE, relaxed); values from VASP
&SYSTEM
  ibrav = 0, nat = 5, ntyp = 3
/
ATOMIC_SPECIES
Nb 92.91 Nb.upf
P 30.97 P.upf
Ir 192.22 Ir.upf
CELL_PARAMETERS angstrom
4.4119 0.0000 0.0000
0.0000 4.4119 0.0000
0.0000 0.0000 4.4119
ATOMIC_POSITIONS crystal
Nb 0.0000 0.0000 0.0000
P 0.5000 0.5000 0.5000
Ir 0.0000 0.5000 0.5000
Ir 0.5000 0.0000 0.5000
Ir 0.5000 0.5000 0.0000
! - Uncorrected energy: -7.903 eV/atom
! - Energy above the most stable polymorph in this dataset: 0.000 eV/f.u.
! - Space-group type: No. 221

Entry 11:
! NbPIr3 (PBE, relaxed); values from VASP
&SYSTEM
  ibrav = 0, nat = 5, ntyp = 3
/
ATOMIC_SPECIES
Nb 92.91 Nb.upf
P 30.97 P.upf
Ir 192.22 Ir.upf
CELL_PARAMETERS angstrom
4.7704 0.0000 0.0000
0.0000 4.7704 0.0000
0.0000 0.0000 4.7704
ATOMIC_POSITIONS crystal
Nb 0.0000 0.0000 0.0000
P 0.5000 0.5000 0.5000
Ir 0.0000 0.0000 0.5000
Ir 0.0000 0.5000 0.0000
Ir 0.5000 0.0000 0.0000
! - Uncorrected energy: -6.557 eV/atom
! - Energy above the most stable polymorph in this dataset: 6.730 eV/f.u.
! - Space-group type: No. 221

Entry 12:
! Nb2PIr (PBE, relaxed); values from VASP
&SYSTEM
  ibrav = 0, nat = 16, ntyp = 3
/
ATOMIC_SPECIES
Nb 92.91 Nb.upf
P 30.97 P.upf
Ir 192.22 Ir.upf
CELL_PARAMETERS angstrom
5.7260 0.0000 0.0000
0.0000 5.7260 0.0000
0.0000 0.0000 11.3508
ATOMIC_POSITIONS crystal
Nb 0.2421 0.2500 0.1250
Nb 0.2500 0.7421 0.3750
Nb 0.2500 0.7579 0.8750
Nb 0.2579 0.2500 0.6250
Nb 0.7421 0.7500 0.6250
Nb 0.7500 0.2421 0.8750
Nb 0.7500 0.2579 0.3750
Nb 0.7579 0.7500 0.1250
P 0.0000 0.0000 0.0000
P 0.0000 0.5000 0.2500
P 0.5000 0.0000 0.7500
P 0.5000 0.5000 0.5000
Ir 0.0000 0.0000 0.5000
Ir 0.0000 0.5000 0.7500
Ir 0.5000 0.0000 0.2500
Ir 0.5000 0.5000 0.0000
! - Uncorrected energy: -8.341 eV/atom
! - Space-group type: No. 122

| no. | total moment (μB/atom) | ρ (g/cm³) |
| --- | --- | --- |
| 1 | 0.0000 | 15.9 |
| 2 | 0.1010 | 10.1 |
| 3 | 0.0000 | 17.3 |
| 4 | 0.0000 | 16.4 |
| 5 | 0.2167 | 9.3 |
| 6 | 0.0000 | 7.3 |
| 7 | 0.0000 | 8.9 |
| 8 | 0.0000 | 10.1 |
| 9 | 0.0000 | 9.7 |
| 10 | 0.5867 | 13.5 |
| 11 | 0.0000 | 10.7 |
| 12 | 0.0000 | 7.3 |